(i)
A relaxed structure of AcTeO. Source: Alexandria, functional PBE.

Cell lengths 4.539, 8.808, 8.542 Å; angles 98.30, 90.00, 90.00 degrees
Fractional coordinates of all 12 atoms:
Ac 0.250 0.153 0.133
Ac 0.750 0.360 0.859
Ac 0.750 0.847 0.867
Ac 0.250 0.640 0.141
Te 0.250 0.854 0.543
Te 0.750 0.419 0.322
Te 0.750 0.146 0.457
Te 0.250 0.581 0.678
O 0.750 0.120 0.977
O 0.250 0.370 0.972
O 0.750 0.630 0.028
O 0.250 0.880 0.023

***

(ii)
A relaxed structure of AcTeO. Source: Alexandria, functional PBE.

Cell lengths 4.162, 4.162, 10.816 Å; angles 90.00, 90.00, 120.00 degrees
Fractional coordinates of all 6 atoms:
Ac 0.667 0.333 0.152
Ac 0.333 0.667 0.848
Te 0.667 0.333 0.608
Te 0.333 0.667 0.392
O 0.667 0.333 0.918
O 0.333 0.667 0.082

***

Going by the energies, (i) is most stable and the next is 0.351 eV/atom up.

***

(i)
A relaxed structure of AcTeO. Source: Alexandria, functional PBE.

Cell lengths 4.119, 4.119, 12.508 Å; angles 80.52, 80.52, 60.00 degrees
Fractional coordinates of all 6 atoms:
Ac 0.622 0.622 0.133
Ac 0.378 0.378 0.867
Te 0.885 0.885 0.344
Te 0.115 0.115 0.656
O 0.692 0.692 0.923
O 0.308 0.308 0.077

***

(ii)
A relaxed structure of AcTeO. Source: Alexandria, functional PBE.

Cell lengths 4.099, 4.099, 5.795 Å; angles 90.00, 90.00, 120.00 degrees
Fractional coordinates of all 3 atoms:
Ac 0.667 0.333 0.500
Te 0.000 0.000 0.000
O 0.333 0.667 0.500

***

Going by the energies, (i) is most stable and the next is 0.021 eV/atom up.

***

(i)
A relaxed structure of Ac2Te2O. Source: Alexandria, functional PBE.

Cell lengths 6.555, 8.285, 8.285 Å; angles 50.51, 66.70, 66.70 degrees
Fractional coordinates of all 10 atoms:
Ac 0.100 0.589 0.211
Ac 0.900 0.411 0.789
Ac 0.400 0.789 0.411
Ac 0.600 0.211 0.589
Te 0.353 0.321 0.974
Te 0.647 0.679 0.026
Te 0.147 0.026 0.679
Te 0.853 0.974 0.321
O 0.250 0.500 0.500
O 0.750 0.500 0.500

***

(ii)
A relaxed structure of Ac2Te2O. Source: Alexandria, functional PBE.

Cell lengths 4.430, 8.229, 9.570 Å; angles 90.00, 103.38, 90.00 degrees
Fractional coordinates of all 10 atoms:
Ac 0.578 0.611 0.156
Ac 0.153 0.981 0.306
Ac 0.847 0.481 0.694
Ac 0.422 0.111 0.844
Te 0.032 0.296 0.065
Te 0.214 0.595 0.427
Te 0.786 0.095 0.573
Te 0.968 0.796 0.935
O 0.619 0.882 0.237
O 0.381 0.382 0.763

***

Going by the energies, (i) is most stable and the next is 0.054 eV/atom up.

***

(i)
A relaxed structure of Ac3TeO3. Source: Alexandria, functional PBE.

Cell lengths 7.398, 7.398, 8.902 Å; angles 65.45, 65.45, 60.00 degrees
Fractional coordinates of all 14 atoms:
Ac 0.228 0.573 0.299
Ac 0.900 0.228 0.299
Ac 0.573 0.900 0.299
Ac 0.427 0.100 0.701
Ac 0.100 0.772 0.701
Ac 0.772 0.427 0.701
Te 0.333 0.333 0.000
Te 0.667 0.667 0.000
O 0.465 0.791 0.618
O 0.791 0.126 0.618
O 0.126 0.465 0.618
O 0.874 0.535 0.382
O 0.209 0.874 0.382
O 0.535 0.209 0.382

***

(ii)
A relaxed structure of Ac3TeO3. Source: Alexandria, functional PBE.

Cell lengths 4.826, 9.250, 9.250 Å; angles 120.00, 90.00, 90.00 degrees
Site moments in Bohr magnetons follow the coordinates.
Fractional coordinates of all 14 atoms:
Ac 0.750 0.733 0.677  0.07
Ac 0.750 0.945 0.267  0.07
Ac 0.250 0.677 0.945  0.07
Ac 0.750 0.323 0.055  0.07
Ac 0.250 0.055 0.733  0.07
Ac 0.250 0.267 0.323  0.07
Te 0.250 0.667 0.333  -0.02
Te 0.750 0.333 0.667  -0.02
O 0.750 0.035 0.796  0.00
O 0.750 0.761 0.965  0.00
O 0.250 0.796 0.761  0.00
O 0.750 0.204 0.239  0.00
O 0.250 0.239 0.035  0.00
O 0.250 0.965 0.204  0.00

***

Going by the energies, (i) is most stable and the next is 0.154 eV/atom up.

***

(i)
A relaxed structure of AcTi2O6. Source: Alexandria, functional PBE.

Cell lengths 3.836, 3.836, 8.300 Å; angles 90.00, 90.00, 90.00 degrees
Site moments in Bohr magnetons follow the coordinates.
Fractional coordinates of all 9 atoms:
Ac 0.000 0.000 0.500  0.00
Ti 0.500 0.500 0.781  -0.04
Ti 0.500 0.500 0.219  -0.04
O 0.500 0.000 0.732  0.15
O 0.000 0.500 0.732  0.15
O 0.500 0.000 0.268  0.15
O 0.000 0.500 0.268  0.15
O 0.500 0.500 0.500  0.27
O 0.500 0.500 0.000  0.04

***

(ii)
A relaxed structure of AcTi2O6. Source: Alexandria, functional PBE.

Cell lengths 5.229, 5.229, 5.275 Å; angles 90.00, 90.00, 120.00 degrees
Site moments in Bohr magnetons follow the coordinates.
Fractional coordinates of all 9 atoms:
Ac 0.000 0.000 0.000  0.02
Ti 0.333 0.667 0.500  -0.03
Ti 0.667 0.333 0.500  -0.03
O 0.618 0.000 0.291  0.12
O 0.382 0.382 0.291  0.12
O 0.000 0.618 0.291  0.12
O 0.618 0.618 0.709  0.12
O 0.000 0.382 0.709  0.12
O 0.382 0.000 0.709  0.12

***

Going by the energies, (ii) is most stable and the next is 0.016 eV/atom up.

***

(i)
A relaxed structure of AcTi2O5. Source: Alexandria, functional PBE.

Cell lengths 3.246, 6.145, 6.145 Å; angles 51.28, 74.68, 74.68 degrees
Site moments in Bohr magnetons follow the coordinates.
Fractional coordinates of all 8 atoms:
Ac 0.000 0.000 0.000  0.03
Ti 0.814 0.686 0.686  0.37
Ti 0.186 0.314 0.314  0.37
O 0.000 0.500 0.500  -0.02
O 0.659 0.601 0.082  -0.01
O 0.341 0.399 0.918  -0.01
O 0.341 0.918 0.399  -0.01
O 0.659 0.082 0.601  -0.01

***

(ii)
A relaxed structure of AcTi2O5. Source: Alexandria, functional PBE.

Cell lengths 3.867, 5.095, 11.712 Å; angles 90.00, 90.00, 90.00 degrees
Fractional coordinates of all 16 atoms:
Ac 0.000 0.099 0.500
Ac 0.500 0.901 0.000
Ti 0.500 0.572 0.341
Ti 0.000 0.428 0.159
Ti 0.500 0.572 0.659
Ti 0.000 0.428 0.841
O 0.500 0.910 0.373
O 0.000 0.582 0.000
O 0.000 0.090 0.127
O 0.500 0.418 0.500
O 0.000 0.090 0.873
O 0.500 0.910 0.627
O 0.500 0.541 0.166
O 0.500 0.541 0.834
O 0.000 0.459 0.334
O 0.000 0.459 0.666

***

Going by the energies, (ii) is most stable and the next is 0.226 eV/atom up.

***

(i)
A relaxed structure of AcTiO4. Source: Alexandria, functional PBE.

Cell lengths 5.445, 5.445, 7.271 Å; angles 111.99, 111.99, 90.00 degrees
Site moments in Bohr magnetons follow the coordinates.
Fractional coordinates of all 12 atoms:
Ac 0.000 0.000 0.000  0.00
Ac 0.750 0.250 0.500  0.00
Ti 0.500 0.500 0.000  -0.07
Ti 0.250 0.750 0.500  -0.07
O 0.032 0.920 0.340  0.23
O 0.170 0.282 0.840  0.23
O 0.670 0.558 0.840  0.23
O 0.308 0.420 0.340  0.23
O 0.442 0.830 0.160  0.23
O 0.080 0.692 0.660  0.23
O 0.580 0.968 0.660  0.23
O 0.718 0.330 0.160  0.23

***

(ii)
A relaxed structure of AcTiO4. Source: Alexandria, functional PBE.

Cell lengths 5.322, 5.322, 6.661 Å; angles 90.00, 90.00, 90.00 degrees
Site moments in Bohr magnetons follow the coordinates.
Fractional coordinates of all 12 atoms:
Ac 0.000 0.000 0.500  -0.01
Ac 0.500 0.500 0.000  -0.01
Ti 0.000 0.000 0.000  -0.05
Ti 0.500 0.500 0.500  -0.05
O 0.260 0.000 0.176  0.23
O 0.740 0.000 0.176  0.23
O 0.000 0.740 0.824  0.23
O 0.000 0.260 0.824  0.23
O 0.500 0.240 0.676  0.23
O 0.760 0.500 0.324  0.23
O 0.240 0.500 0.324  0.23
O 0.500 0.760 0.676  0.23

***

Going by the energies, (i) is most stable and the next is 0.285 eV/atom up.

***

(i)
A relaxed structure of Ac2TlO. Source: Alexandria, functional PBE.

Cell lengths 5.947, 5.990, 7.690 Å; angles 90.01, 112.62, 90.00 degrees
Fractional coordinates of all 8 atoms:
Ac 0.236 0.121 0.652
Ac 0.038 0.621 0.255
Ac 0.688 0.621 0.652
Ac 0.490 0.121 0.255
Tl 0.863 0.121 0.954
Tl 0.363 0.621 0.954
O 0.363 0.871 0.454
O 0.363 0.371 0.454

***

(ii)
A relaxed structure of Ac2TlO. Source: Alexandria, functional PBE.

Cell lengths 3.988, 3.988, 8.623 Å; angles 76.63, 76.63, 60.00 degrees
Fractional coordinates of all 4 atoms:
Ac 0.774 0.774 0.678
Ac 0.226 0.226 0.322
Tl 0.000 0.000 0.000
O 0.500 0.500 0.500

***

(iii)
A relaxed structure of Ac2TlO. Source: Alexandria, functional PBE.

Cell lengths 3.491, 3.491, 8.414 Å; angles 90.00, 90.00, 90.00 degrees
Fractional coordinates of all 4 atoms:
Ac 0.000 0.000 0.798
Ac 0.000 0.000 0.202
Tl 0.500 0.500 0.500
O 0.500 0.500 0.000

***

Going by the energies, (i) is most stable and the next is 0.234 eV/atom up.